10
Lattice="-3.7481 -1.7381 3.0301 4.4381 -4.5575 2.8754 1.7199 4.7282 4.8396" Properties=species:S:1:pos:R:3 comment="Tl2ZnHg2, PBEsol geometry, DFT meta-GGA SCAN" spacegroup="P4/mbm, No. 127" total_magnetization_mub_per_atom=0.00 e_tot_ev_per_atom=-58.83 crystal_system=tetragonal de_polymorph_kj_per_mol_atoms=0.0 dos_at_fermi_per_ev_fu=1.95 pbc="T T T"
Zn 3.0790 0.0853 3.8575
Tl 2.3519 -3.0922 5.4671
Tl 0.0580 1.5247 5.2780
Hg 4.8967 -0.8224 5.5852
Hg 1.2613 0.9931 2.1298
Hg 3.0298 2.4242 5.1382
Zn 0.0000 0.0000 0.0000
Tl -0.1282 -1.5312 3.2947
Hg 3.1282 -2.2536 2.5768
Tl 2.5381 -0.0362 7.4504